(1)
Here is crystalline B3C7 at its relaxed geometry from Alexandria. Energies are from GGA-PBE.

Unit cell a=2.5480 b=2.5480 c=33.3441 alpha=90.00 beta=90.00 gamma=120.00
Space group R3m (No. 160, hexagonal axes)
Symmetry-distinct sites (fractional):
B (0.0000, 0.0000, 0.0000)
B (0.0000, 0.0000, 0.2360)
B (0.0000, 0.0000, 0.6000)
C (0.0000, 0.0000, 0.0488)
C (0.0000, 0.0000, 0.1883)
C (0.0000, 0.0000, 0.3975)
C (0.0000, 0.0000, 0.4441)
C (0.0000, 0.0000, 0.6461)
C (0.0000, 0.0000, 0.7929)
C (0.0000, 0.0000, 0.8394)

Output
- Fermi-level density of states: 3.757 states/eV/cell
- Total magnetic moment: 0.00 μB/f.u.


(2)
Here is crystalline B7C5 at its relaxed geometry from Alexandria. Energies are from GGA-PBE.

Unit cell a=4.3419 b=4.5593 c=4.8574 alpha=77.44 beta=68.16 gamma=76.72
Space group P1 (No. 1)
Symmetry-distinct sites (fractional):
B (0.0000, 0.0000, 0.0000)
B (0.0029, 0.4750, 0.3652)
B (0.2580, 0.6929, 0.3961)
B (0.3530, 0.0840, 0.1830)
B (0.5821, 0.6514, 0.5730)
B (0.6814, 0.5258, 0.2108)
B (0.9559, 0.0776, 0.4326)
C (0.0104, 0.6552, 0.0056)
C (0.2814, 0.4969, 0.7828)
C (0.3185, 0.1576, 0.8275)
C (0.5985, 0.9939, 0.5921)
C (0.6698, 0.1723, 0.2269)

Output
- Fermi-level density of states: 1.475 states/eV/cell
- Total magnetic moment: 0.00 μB/f.u.


| no. | DFT formation energy (eV/atom) |
| --- | --- |
| 1 | 0.289 |
| 2 | 0.356 |